# 1
The following is a GGA-PBE calculation of BaAlF2 after structural relaxation, from Alexandria via LeMat-Bulk.

Unit cell a=4.4369 b=4.4369 c=17.5297 alpha=90.00 beta=90.00 gamma=120.00
Space group R-3m (No. 166, hexagonal axes)
Inequivalent atoms, fractional coordinates:
Ba  0.0000  0.0000  0.0000 x3
Al  0.0000  0.0000  0.5000 x3
F  0.0000  0.0000  0.3797 x6

Output
The crystal system is trigonal. The calculation puts the calculated volume at 24.90 A^3/atom. For the uncorrected formation energy, the calculation gives -2.349 eV per atom. Its energy above the most stable polymorph in this dataset is 0 meV/atom.



# 2
The following is a GGA-PBE calculation of ErBe17Ni after structural relaxation, from Alexandria via LeMat-Bulk.

Unit cell a=7.4793 b=7.4793 c=10.8877 alpha=90.00 beta=90.00 gamma=120.00
Space group R3m (No. 160, hexagonal axes)
Inequivalent atoms, fractional coordinates:
Er  0.0000  0.0000  0.0000 x3
Be  0.0000  0.0000  0.5568 x3
Be  0.0000  0.0000  0.7513 x3
Be  0.0431  0.3678  0.3229 x18
Be  0.1702  0.3403  0.8345 x9
Be  0.1718  0.3437  0.4933 x9
Be  0.1769  0.3539  0.1395 x9
Ni  0.0000  0.0000  0.3438 x3

Output
The crystal system is trigonal. The calculation puts the calculated volume at 9.25 A^3/atom. For the calculated formation energy, the calculation gives -62 meV per atom.



# 3
The following is a GGA-PBE calculation of LiAu3F after structural relaxation, from Alexandria via LeMat-Bulk.

Unit cell a=4.6738 b=4.6738 c=4.6738 alpha=90.00 beta=90.00 gamma=90.00
Space group Pm-3m (No. 221)
Inequivalent atoms, fractional coordinates:
Li  0.0000  0.0000  0.0000 x1
Au  0.0000  0.5000  0.5000 x3
F  0.5000  0.5000  0.5000 x1

Output
The crystal system is cubic. The calculation puts the calculated volume at 20.42 A^3/atom. For the uncorrected formation energy, the calculation gives 0.155 eV per atom. Its energy above the most stable polymorph in this dataset is 0 meV/atom.